# 1
Compound: Sr3TlH
Source: Alexandria
Functional: PBE
Structure: optimized geometry

* V: 30.8 Å³ per atom
* total magnetic moment: 0.00 μB per formula unit
* space group: Pm-3m (221)
* mass density: 5.0 g cm⁻³
* energy: -12.18 eV/cell

Lattice parameters (Å, degrees): 5.3609 5.3609 5.3609 90.00 90.00 90.00
Closest atoms and distances in Å follow each position.
Positions (direct):
Sr (0.0000, 0.0000, 0.5000)  2 H 2.68
Sr (0.0000, 0.5000, 0.0000)  2 H 2.68
Sr (0.5000, 0.0000, 0.0000)  2 H 2.68
Tl (0.5000, 0.5000, 0.5000)  12 Sr 3.79
H (0.0000, 0.0000, 0.0000)  6 Sr 2.68



# 2
Compound: SrTlH2
Source: Alexandria
Functional: PBE
Structure: optimized geometry

* V: 21.5 Å³ per atom
* total magnetic moment: 0.00 μB per formula unit
* space group: I-42d (122)
* mass density: 5.7 g cm⁻³
* energy: -21.93 eV/cell

Lattice parameters (Å, degrees): 7.2718 7.2718 7.2718 137.74 137.74 61.30
Closest atoms and distances in Å follow each position.
Positions (direct):
Sr (0.0000, 0.0000, 0.0000)  4 H 2.33
Sr (0.7500, 0.2500, 0.5000)  4 H 2.33
Tl (0.2500, 0.7500, 0.5000)  4 H 2.53
Tl (0.5000, 0.5000, 0.0000)  4 H 2.53
H (0.0904, 0.6250, 0.9654)  2 Sr 2.33, 2 Tl 2.53
H (0.3750, 0.3404, 0.4654)  2 Sr 2.33, 2 Tl 2.53
H (0.6596, 0.1250, 0.0346)  2 Sr 2.33, 2 Tl 2.53
H (0.8750, 0.9096, 0.5346)  2 Sr 2.33, 2 Tl 2.53



# 3
Compound: SrTlH2
Source: Alexandria
Functional: PBE
Structure: optimized geometry

* V: 17.7 Å³ per atom
* total magnetic moment: 0.00 μB per formula unit
* space group: Fm-3m (225)
* mass density: 6.9 g cm⁻³
* energy: -10.65 eV/cell

Lattice parameters (Å, degrees): 4.6430 4.6430 4.6430 60.00 60.00 60.00
Closest atoms and distances in Å follow each position.
Positions (direct):
Sr (0.0000, 0.0000, 0.0000)  8 H 2.84
Tl (0.5000, 0.5000, 0.5000)  8 H 2.84
H (0.2500, 0.2500, 0.2500)  4 Tl 2.84, 4 Sr 2.84
H (0.7500, 0.7500, 0.7500)  4 Tl 2.84, 4 Sr 2.84